# Be3Rh4

Be3Rh4 after structural relaxation (GGA-PBE, the Alexandria database).

E (eV/f.u.): -43.421
Distance to the lowest polymorph of the same formula (eV per atom): 0.000
DOS at the Fermi energy (states/eV/cell): 6.25
Calculated formation energy (meV per atom): -405

abc: 10.446 10.446 10.446
angles: 164.67 164.67 21.75
Positions (direct):
1 Rh 0.434 0.434 0.000
2 Rh 0.566 0.566 0.000
3 Rh 0.839 0.839 0.000
4 Rh 0.161 0.161 0.000
5 Be 0.000 0.000 0.000
6 Be 0.277 0.277 0.000
7 Be 0.723 0.723 0.000